The following is a DFT calculation (PBEsol) of a geometry-optimized KMn2Rh structure.

Cell: 3.078 3.078 8.595 Å, 90.00 90.00 90.00°
Fractional coordinates of all 4 atoms:
K  0.000  0.000  0.000
Mn  0.500  0.500  0.334
Mn  0.500  0.500  0.666
Rh  0.000  0.000  0.500

Values from the calculation:
Energy relative to the elements   0.6255 eV per atom
Final energy   -6.573 eV per atom
Total moment   2.235 μB/atom